Entry from the Alexandria database: MnAg2C2O6 after structural relaxation (GGA+U).

magnetic moment	0.4493	μB per atom
VASP energy	-6.638	eV/atom
ρ	4.80	g cm⁻³
V	135.15	Å³ per cell

abc: 5.2050 5.1707 6.7682
angles: 116.29 90.00 120.22
Closest atoms and distances in Å follow each position.
Sites, in units of the cell vectors:
Mn: 0.5000 0.0000 0.5000  6 O 2.19
Ag: 0.6869 0.3738 0.1393  8 O 2.55-2.80
Ag: 0.3131 0.6262 0.8607  8 O 2.55-2.80
C: 0.9401 0.8802 0.7287  3 O 1.28-1.31
C: 0.0599 0.1198 0.2713  3 O 1.28-1.31
O: 0.7850 0.5699 0.6921  1 C 1.28
O: 0.1909 0.9516 0.2472  1 C 1.31
O: 0.2393 0.0484 0.7528  1 C 1.31
O: 0.8091 0.0484 0.7528  1 C 1.31
O: 0.7607 0.9516 0.2472  1 C 1.31
O: 0.2150 0.4301 0.3079  1 C 1.28